[1]
First-principles (PBE-GGA) data for a relaxed structure of TlRh2Se, as listed in Alexandria via LeMat-Bulk.

## Properties
As for the space-group type: No. 71. For the formation energy (no corrections), the calculation gives 0.22 eV per atom.

abc: 5.2555 5.2555 5.2555
angles: 144.18 117.22 74.43
Element x y z (fractional)
1 Rh 0.9715 0.9715 0.0000
2 Rh 0.5285 0.5285 0.0000
3 Se 0.7500 0.2500 0.5000
4 Tl 0.2500 0.7500 0.5000

=====

[2]
First-principles (PBE-GGA) data for a relaxed structure of Na2PmTiSe4, as listed in Alexandria via LeMat-Bulk.

## Properties
As for the space-group type: No. 10. For the formation energy (no corrections), the calculation gives -1.37 eV per atom.

abc: 4.0170 6.9816 7.4021
angles: 108.29 90.00 90.00
Last column: magnetic moment on the atom in μB.
Element x y z (fractional)
1 Na 0.5000 0.0000 0.5000  0.00
2 Na 0.0000 0.5000 0.5000  0.00
3 Pm 0.5000 0.5000 0.0000  0.03
4 Ti 0.0000 0.0000 0.0000  0.86
5 Se 0.5000 0.2165 0.2164  -0.02
6 Se 0.5000 0.7835 0.7836  -0.02
7 Se 0.0000 0.2323 0.7700  -0.01
8 Se 0.0000 0.7677 0.2300  -0.01

=====

[3]
First-principles (PBE-GGA) data for a relaxed structure of Cr2CoNi, as listed in Alexandria via LeMat-Bulk.

## Properties
As for the space-group type: No. 166. As for the formation enthalpy at 0 K: 0.133 eV/atom.

abc: 8.3972 8.3972 8.3972
angles: 17.03 17.03 17.03
Element x y z (fractional)
1 Co 0.2500 0.2500 0.2500
2 Cr 0.9983 0.9983 0.9983
3 Cr 0.5017 0.5017 0.5017
4 Ni 0.7500 0.7500 0.7500

=====

[4]
First-principles (PBE-GGA) data for a relaxed structure of La2Y6Mg, as listed in Alexandria via LeMat-Bulk.

## Properties
As for the space-group type: No. 58. As for the formation enthalpy at 0 K: 0.059 eV/atom.

abc: 5.5882 9.9936 10.4437
angles: 90.00 90.02 90.00
Element x y z (fractional)
1 La 0.0002 0.3127 0.7562
2 La 0.4998 0.8126 0.7436
3 La 0.5002 0.1874 0.2564
4 La 0.9998 0.6873 0.2438
5 Y 0.0000 0.0140 0.1755
6 Y 0.9998 0.6764 0.5680
7 Y 0.9998 0.6421 0.8935
8 Y 0.5002 0.1421 0.6064
9 Y 0.5002 0.1765 0.9320
10 Y 0.5000 0.5140 0.3246
11 Y 0.0000 0.9860 0.8245
12 Y 0.0002 0.3236 0.4320
13 Y 0.0002 0.3579 0.1065
14 Y 0.4998 0.8579 0.3936
15 Y 0.4998 0.8235 0.0680
16 Y 0.5000 0.4860 0.6754
17 Mg 0.5000 0.5000 0.0000
18 Mg 0.0000 0.0000 0.5000

=====

[5]
First-principles (PBE-GGA) data for a relaxed structure of PuZn4Ag4, as listed in Alexandria via LeMat-Bulk.

## Properties
As for the space-group type: No. 87. As for the formation enthalpy at 0 K: 0.065 eV/atom.

abc: 4.6963 8.5775 8.5775
angles: 90.00 90.00 90.00
Last column: magnetic moment on the atom in μB.
Element x y z (fractional)
1 Pu 0.0000 0.0000 0.0000  5.42
2 Pu 0.5000 0.5000 0.5000  5.42
3 Zn 0.5004 0.8835 0.2171  0.01
4 Zn 0.5004 0.1165 0.7829  0.01
5 Zn 0.0004 0.7171 0.6165  0.01
6 Zn 0.9996 0.3835 0.7171  0.01
7 Zn 0.9996 0.6165 0.2829  0.01
8 Zn 0.4996 0.2171 0.1165  0.01
9 Zn 0.4996 0.7829 0.8835  0.01
10 Zn 0.0004 0.2829 0.3835  0.01
11 Ag 0.4996 0.4111 0.8650  0.01
12 Ag 0.9996 0.6350 0.9111  0.01
13 Ag 0.4996 0.5889 0.1350  0.01
14 Ag 0.0004 0.0889 0.6350  0.01
15 Ag 0.5004 0.8650 0.5889  0.01
16 Ag 0.0004 0.9111 0.3650  0.01
17 Ag 0.9996 0.3650 0.0889  0.01
18 Ag 0.5004 0.1350 0.4111  0.01

=====

[6]
First-principles (PBE-GGA) data for a relaxed structure of HgPd3, as listed in Alexandria via LeMat-Bulk.

## Properties
As for the space-group type: No. 221. As for the formation enthalpy at 0 K: -0.094 eV/atom.

abc: 4.0505 4.0547 4.0548
angles: 90.00 90.00 90.00
Element x y z (fractional)
1 Hg 0.0000 0.5000 0.4166
2 Pd 0.0000 0.0000 0.9167
3 Pd 0.5000 0.0000 0.4167
4 Pd 0.5000 0.5000 0.9167

=====

[7]
First-principles (PBE-GGA) data for a relaxed structure of KIr2Os, as listed in Alexandria via LeMat-Bulk.

## Properties
As for the space-group type: No. 216. As for the formation enthalpy at 0 K: 1.509 eV/atom.

abc: 4.5525 4.5525 4.5525
angles: 60.00 60.00 60.00
Element x y z (fractional)
1 Ir 0.0000 0.0000 0.0000
2 Ir 0.2500 0.2500 0.2500
3 K 0.5000 0.5000 0.5000
4 Os 0.7500 0.7500 0.7500

=====

[8]
First-principles (PBE-GGA) data for a relaxed structure of CeNbSb2, as listed in Alexandria via LeMat-Bulk.

## Properties
As for the space-group type: No. 123. For the formation energy (no corrections), the calculation gives -0.42 eV per atom.

abc: 3.5385 3.5385 7.5791
angles: 90.00 90.00 90.00
Last column: magnetic moment on the atom in μB.
Element x y z (fractional)
1 Sb 0.0000 0.0000 0.7865  -0.01
2 Sb 0.0000 0.0000 0.2135  -0.01
3 Nb 0.5000 0.5000 0.0000  -0.04
4 Ce 0.5000 0.5000 0.5000  0.89

=====

[9]
First-principles (PBE-GGA) data for a relaxed structure of UAlCd2O6, as listed in Alexandria via LeMat-Bulk.

## Properties
As for the space-group type: No. 146. For the formation energy (no corrections), the calculation gives -2.26 eV per atom.

abc: 5.5270 5.5270 5.6962
angles: 60.98 60.98 60.00
Last column: magnetic moment on the atom in μB.
Element x y z (fractional)
1 U 0.8166 0.8167 0.5500  1.04
2 Al 0.3175 0.3175 0.0476  0.00
3 Cd 0.5550 0.5550 0.3349  0.01
4 Cd 0.0491 0.0491 0.8527  0.01
5 O 0.5607 0.1787 0.2751  -0.02
6 O 0.1787 0.9855 0.2751  -0.02
7 O 0.9855 0.5607 0.2751  -0.02
8 O 0.4562 0.6515 0.8016  -0.02
9 O 0.6515 0.0908 0.8015  -0.02
10 O 0.0908 0.4562 0.8015  -0.02

=====

For the records above, the corresponding DFT total energy values read -19.67 -40.20 -31.60 -99.41 -60.50 -16.26 -24.01 -25.91 -69.24 eV per cell.